(w)
VGa3P, relaxed, DFT PBE; density of states at the Fermi level = 5.7 states/eV per cell; symmetry = Pm-3m (221); ρ = 4.556 Mg/m³
1.0
-3.2259 -2.4079 2.4910
1.0212 -3.9133 -2.4603
3.3106 -1.1393 3.1862
P Ga V
1 3 1
Direct
0.0000 0.0000 0.0000 P
0.0000 0.5000 0.0000 Ga
0.0000 0.0000 0.5000 Ga
0.5000 0.0000 0.0000 Ga
0.5000 0.5000 0.5000 V

***

(x)
VGa3P, relaxed, DFT PBE; density of states at the Fermi level = 5.8 states/eV per cell; symmetry = Pm-3m (221); ρ = 4.358 Mg/m³
1.0
4.8045 0.0000 0.0000
0.0000 4.8045 0.0000
0.0000 0.0000 4.8045
P Ga V
1 3 1
Direct
0.5000 0.5000 0.5000 P
0.0000 0.5000 0.0000 Ga
0.0000 0.0000 0.5000 Ga
0.5000 0.0000 0.0000 Ga
0.0000 0.0000 0.0000 V

***

In terms of stability, (w) leads; the second structure lies 0.083 eV/atom higher.

***

(w)
V2GaP, relaxed, DFT PBE; density of states at the Fermi level = 6.6 states/eV per cell; symmetry = Fm-3m (225); ρ = 6.289 Mg/m³
1.0
4.0940 -0.5683 0.8964
1.1279 -2.1892 3.4384
1.7425 -3.8318 -0.4102
P Ga V
1 1 2
Direct
0.0000 0.0000 0.0000 P
0.5000 0.5000 0.5000 Ga
0.2500 0.2500 0.2500 V
0.7500 0.7500 0.7500 V

***

(x)
V2GaP, relaxed, DFT PBE; density of states at the Fermi level = 6.5 states/eV per cell; symmetry = I-42d (122); ρ = 5.760 Mg/m³
1.0
-5.3243 -3.8566 0.4686
0.5228 0.0765 6.5698
-3.9713 0.2903 3.6188
P Ga V
2 2 4
Direct
0.5000 0.5000 0.0000 P
0.2500 0.7500 0.5000 P
0.0000 0.0000 0.0000 Ga
0.7500 0.2500 0.5000 Ga
0.5939 0.1250 0.2500 V
0.1561 0.6250 0.2500 V
0.3750 0.4061 0.7500 V
0.8750 0.8439 0.7500 V

***

In terms of stability, (w) leads; the second structure lies 0.024 eV/atom higher.

***

(w)
YGa2P, relaxed, DFT PBE; density of states at the Fermi level = 2.7 states/eV per cell; symmetry = Fm-3m (225); ρ = 5.217 Mg/m³
1.0
0.0000 3.4557 3.4557
3.4557 0.0000 3.4557
3.4557 3.4557 0.0000
Y P Ga
1 1 2
Direct
0.5000 0.5000 0.5000 Y
0.0000 0.0000 0.0000 P
0.2500 0.2500 0.2500 Ga
0.7500 0.7500 0.7500 Ga

***

(x)
YGa2P, relaxed, DFT PBE; density of states at the Fermi level = 4.2 states/eV per cell; symmetry = I-42d (122); ρ = 5.210 Mg/m³
1.0
-7.2947 1.1413 -1.9514
-2.1703 -1.6908 7.1242
-4.4977 2.4567 3.3062
Y P Ga
2 2 4
Direct
0.0000 0.0000 0.0000 Y
0.7500 0.2500 0.5000 Y
0.5000 0.5000 0.0000 P
0.2500 0.7500 0.5000 P
0.5770 0.1250 0.2500 Ga
0.1730 0.6250 0.2500 Ga
0.3750 0.4230 0.7500 Ga
0.8750 0.8270 0.7500 Ga

***

In terms of stability, (x) leads; the second structure lies 0.402 eV/atom higher.

***

(w)
YGaP2, relaxed, DFT PBE; density of states at the Fermi level = 1.6 states/eV per cell; symmetry = Fm-3m (225); ρ = 4.717 Mg/m³
1.0
-0.5840 -2.7995 3.8413
1.5573 1.4608 4.2865
-3.1428 1.2243 3.3996
Y P Ga
1 2 1
Direct
0.5000 0.5000 0.5000 Y
0.2500 0.2500 0.2500 P
0.7500 0.7500 0.7500 P
0.0000 0.0000 0.0000 Ga

***

(x)
YGaP2, relaxed, DFT PBE; density of states at the Fermi level = 0.0 states/eV per cell; symmetry = I-42d (122); ρ = 4.143 Mg/m³
1.0
-1.0265 -6.3208 -1.8940
2.4020 -2.1433 5.8507
-2.9613 -4.1026 3.5239
Y P Ga
2 4 2
Direct
0.0000 0.0000 0.0000 Y
0.7500 0.2500 0.5000 Y
0.5754 0.1250 0.2500 P
0.1746 0.6250 0.2500 P
0.3750 0.4246 0.7500 P
0.8750 0.8254 0.7500 P
0.5000 0.5000 0.0000 Ga
0.2500 0.7500 0.5000 Ga

***

In terms of stability, (x) leads; the second structure lies 0.369 eV/atom higher.

***

(w)
ZrGaP3, relaxed, DFT PBE; density of states at the Fermi level = 4.1 states/eV per cell; symmetry = Pm-3m (221); ρ = 4.288 Mg/m³
1.0
4.6151 0.0000 0.0000
0.0000 4.6151 0.0000
0.0000 0.0000 4.6151
P Ga Zr
3 1 1
Direct
0.0000 0.5000 0.0000 P
0.0000 0.0000 0.5000 P
0.5000 0.0000 0.0000 P
0.0000 0.0000 0.0000 Ga
0.5000 0.5000 0.5000 Zr

***

(x)
ZrGaP3, relaxed, DFT PBE; density of states at the Fermi level = 6.0 states/eV per cell; symmetry = Pm-3m (221); ρ = 3.278 Mg/m³
1.0
-4.9907 0.0728 0.7519
-0.6529 -2.9426 -4.0489
0.3799 -4.1005 2.9188
P Ga Zr
3 1 1
Direct
0.0000 0.5000 0.0000 P
0.0000 0.0000 0.5000 P
0.5000 0.0000 0.0000 P
0.5000 0.5000 0.5000 Ga
0.0000 0.0000 0.0000 Zr

***

In terms of stability, (x) leads; the second structure lies 0.225 eV/atom higher.

***

(w)
ZrGa3P, relaxed, DFT PBE; density of states at the Fermi level = 4.3 states/eV per cell; symmetry = Pm-3m (221); ρ = 3.843 Mg/m³
1.0
5.2314 0.0000 0.0000
0.0000 5.2314 0.0000
0.0000 0.0000 5.2314
P Ga Zr
1 3 1
Direct
0.5000 0.5000 0.5000 P
0.0000 0.5000 0.0000 Ga
0.0000 0.0000 0.5000 Ga
0.5000 0.0000 0.0000 Ga
0.0000 0.0000 0.0000 Zr

***

(x)
ZrGa3P, relaxed, DFT PBE; density of states at the Fermi level = 3.6 states/eV per cell; symmetry = Pm-3m (221); ρ = 5.340 Mg/m³
1.0
-4.2948 1.6973 0.8079
-1.8798 -3.8788 -1.8440
0.0008 -2.0132 4.2339
P Ga Zr
1 3 1
Direct
0.0000 0.0000 0.0000 P
0.0000 0.5000 0.0000 Ga
0.0000 0.0000 0.5000 Ga
0.5000 0.0000 0.0000 Ga
0.5000 0.5000 0.5000 Zr

***

In terms of stability, (x) leads; the second structure lies 0.552 eV/atom higher.

***

(w)
Zr4GaP, relaxed, DFT PBE; density of states at the Fermi level = 10.2 states/eV per cell; symmetry = P2_1/c (14); ρ = 5.907 Mg/m³
1.0
6.3663 0.0000 -0.0431
0.0000 6.4367 0.0000
-0.1369 0.0000 6.3890
Zr Ga P
8 2 2
Direct
0.8748 0.6385 0.1524 Zr
0.6252 0.1385 0.8476 Zr
0.3452 0.3517 0.3691 Zr
0.1548 0.8517 0.6309 Zr
0.1252 0.3615 0.8476 Zr
0.3748 0.8615 0.1524 Zr
0.6548 0.6483 0.6309 Zr
0.8452 0.1483 0.3691 Zr
0.0000 0.0000 0.0000 Ga
0.5000 0.5000 0.0000 Ga
0.5000 0.0000 0.5000 P
0.0000 0.5000 0.5000 P

***

(x)
Zr4GaP, relaxed, DFT PBE; density of states at the Fermi level = 6.6 states/eV per cell; symmetry = P4/mcc (124); ρ = 6.611 Mg/m³
1.0
-3.3632 -2.5130 3.3643
5.0118 -1.2024 4.1119
-1.1687 5.7045 3.0926
Zr Ga P
8 2 2
Direct
0.0000 0.1635 0.6504 Zr
0.0000 0.8365 0.3496 Zr
0.0000 0.3496 0.1635 Zr
0.0000 0.6504 0.8365 Zr
0.5000 0.8365 0.6504 Zr
0.5000 0.1635 0.3496 Zr
0.5000 0.6504 0.1635 Zr
0.5000 0.3496 0.8365 Zr
0.2500 0.0000 0.0000 Ga
0.7500 0.0000 0.0000 Ga
0.2500 0.5000 0.5000 P
0.7500 0.5000 0.5000 P

***

In terms of stability, (x) leads; the second structure lies 0.314 eV/atom higher.

***

(w)
PaGa, relaxed, DFT PBE; density of states at the Fermi level = 6.2 states/eV per cell; symmetry = Cmmm (65); ρ = 11.664 Mg/m³
1.0
-3.0760 0.5526 -0.0497
-0.5148 -3.2440 -4.2065
-0.9058 -4.8614 2.0073
Pa Ga
2 2
Direct
0.0000 0.2721 0.2721 Pa
0.0000 0.7279 0.7279 Pa
0.5000 0.2129 0.7871 Ga
0.5000 0.7871 0.2129 Ga

***

(x)
PaGa, relaxed, DFT PBE; density of states at the Fermi level = 4.2 states/eV per cell; symmetry = Pm-3m (221); ρ = 11.213 Mg/m³
1.0
3.5447 0.0000 0.0000
0.0000 3.5447 0.0000
0.0000 0.0000 3.5447
Pa Ga
1 1
Direct
0.5000 0.5000 0.5000 Pa
0.0000 0.0000 0.0000 Ga

***

(y)
PaGa, relaxed, DFT PBE; density of states at the Fermi level = 3.0 states/eV per cell; symmetry = Fm-3m (225); ρ = 9.848 Mg/m³
1.0
4.1547 0.0000 0.0000
2.0774 3.5981 0.0000
2.0774 1.1994 3.3923
Pa Ga
1 1
Direct
0.0000 0.0000 0.0000 Pa
0.5000 0.5000 0.5000 Ga

***

(z)
PaGa, relaxed, DFT PBE; density of states at the Fermi level = 6.5 states/eV per cell; symmetry = P2_1/m (11); ρ = 11.545 Mg/m³
1.0
3.7397 0.0000 0.3014
0.0000 4.1063 0.0000
-1.5430 0.0000 5.5099
Pa Ga
2 2
Direct
0.6137 0.2500 0.3596 Pa
0.3863 0.7500 0.6404 Pa
0.9602 0.2500 0.8702 Ga
0.0398 0.7500 0.1298 Ga

***

In terms of stability, (w) leads; the second structure lies 0.073 eV/atom higher.